Version w
Here is an optimized crystal structure of CeHoInPb from Alexandria. Energies are from GGA-PBE.

a b c (Å): 5.014 5.014 8.901
angles (deg): 90.00 90.00 90.00
Element x y z (fractional)
Ce  0.000  0.000  0.000
Ce  0.500  0.500  0.500
Ho  0.000  0.000  0.500
Ho  0.500  0.500  0.000
In  0.000  0.500  0.750
In  0.500  0.000  0.250
Pb  0.000  0.500  0.250
Pb  0.500  0.000  0.750

Results
SG = I-4m2
Density of states at the Fermi level = 8.58 states/eV/f.u.

Version x
Here is an optimized crystal structure of CeHoInPb from Alexandria. Energies are from GGA-PBE.

a b c (Å): 7.693 7.693 7.693
angles (deg): 90.00 90.00 90.00
Element x y z (fractional)
Ce  0.000  0.000  0.000
Ce  0.000  0.500  0.500
Ce  0.500  0.000  0.500
Ce  0.500  0.500  0.000
Ho  0.000  0.000  0.500
Ho  0.000  0.500  0.000
Ho  0.500  0.000  0.000
Ho  0.500  0.500  0.500
In  0.250  0.250  0.750
In  0.250  0.750  0.250
In  0.750  0.250  0.250
In  0.750  0.750  0.750
Pb  0.250  0.250  0.250
Pb  0.250  0.750  0.750
Pb  0.750  0.250  0.750
Pb  0.750  0.750  0.250

Results
SG = F-43m
Density of states at the Fermi level = 8.46 states/eV/f.u.

version w is preferred energetically. Next in line: 3.1 kJ/mol of atoms higher.

Version w
Here is an optimized crystal structure of CeHoInRu from Alexandria. Energies are from GGA-PBE.

a b c (Å): 3.364 3.364 8.367
angles (deg): 90.00 90.00 90.00
Element x y z (fractional)
Ce  0.000  0.000  0.000
Ho  0.000  0.000  0.588
In  0.500  0.500  0.301
Ru  0.500  0.500  0.793

Results
SG = P4mm
Density of states at the Fermi level = 3.76 states/eV/f.u.

Version x
Here is an optimized crystal structure of CeHoInRu from Alexandria. Energies are from GGA-PBE.

a b c (Å): 7.225 7.225 7.225
angles (deg): 90.00 90.00 90.00
Element x y z (fractional)
Ce  0.000  0.000  0.000
Ce  0.000  0.500  0.500
Ce  0.500  0.000  0.500
Ce  0.500  0.500  0.000
Ho  0.000  0.000  0.500
Ho  0.000  0.500  0.000
Ho  0.500  0.000  0.000
Ho  0.500  0.500  0.500
In  0.250  0.250  0.250
In  0.250  0.750  0.750
In  0.750  0.250  0.750
In  0.750  0.750  0.250
Ru  0.250  0.250  0.750
Ru  0.250  0.750  0.250
Ru  0.750  0.250  0.250
Ru  0.750  0.750  0.750

Results
SG = F-43m
Density of states at the Fermi level = 5.99 states/eV/f.u.

version w is preferred energetically. Next in line: 18.7 kJ/mol of atoms higher.

Version w
Here is an optimized crystal structure of CeHoIr from Alexandria. Energies are from GGA-PBE.

a b c (Å): 6.841 6.841 6.841
angles (deg): 90.00 90.00 90.00
Element x y z (fractional)
Ce  0.000  0.000  0.000
Ce  0.000  0.500  0.500
Ce  0.500  0.000  0.500
Ce  0.500  0.500  0.000
Ho  0.000  0.000  0.500
Ho  0.000  0.500  0.000
Ho  0.500  0.000  0.000
Ho  0.500  0.500  0.500
Ir  0.250  0.250  0.750
Ir  0.250  0.750  0.250
Ir  0.750  0.250  0.250
Ir  0.750  0.750  0.750

Results
SG = F-43m
Density of states at the Fermi level = 7.77 states/eV/f.u.

Version x
Here is an optimized crystal structure of CeHoIr from Alexandria. Energies are from GGA-PBE.

a b c (Å): 4.072 4.072 6.099
angles (deg): 90.00 90.00 120.00
Element x y z (fractional)
Ce  0.000  0.000  0.000
Ho  0.333  0.667  0.484
Ir  0.667  0.333  0.240

Results
SG = P3m1
Density of states at the Fermi level = 5.97 states/eV/f.u.

version w is preferred energetically. Next in line: 4.2 kJ/mol of atoms higher.